5
Lattice="-4.7703 2.7242 1.6151 -1.9338 -0.1931 -5.3860 -2.6106 -5.2385 1.1252" Properties=species:S:1:pos:R:3 comment="In2BiTePt, relaxed, DFT PBE-GGA" total_magnetization_mub_per_fu=0.00 energy_ev_per_cell=-13.40 raw_formation_energy_kj_per_mol_fu=496 pbc="T T T"
Pt -4.6574 -1.3537 -1.3229
In -0.9669 -0.0966 -2.6930
In -2.3852 1.3621 0.8075
Bi 0.0000 0.0000 0.0000
Te -1.3053 -2.6192 0.5626